TlCr2F7 (PBE+U, optimized geometry); symmetry = Cmmm; energy = -54.90 eV for the cell shown; ρ = 5.2 g/cm3
1.0
-1.3318 -2.4480 -2.7442
5.9728 -0.4033 -2.5390
-2.0511 -4.0768 4.6322
Tl Cr F
1 2 7
direct
0.0000 0.0000 0.0000
0.5000 0.6736 0.3264
0.5000 0.3264 0.6736
0.0000 0.6821 0.3179
0.0000 0.3179 0.6821
0.5000 0.0426 0.3455
0.5000 0.9574 0.6545
0.5000 0.3455 0.0426
0.5000 0.6545 0.9574
0.5000 0.5000 0.5000